Record 1
Material: MgCrW2
Method: DFT, PBE
State: optimized geometry

The structure in POSCAR format:
```
MgCrW2
1.0
5.171 -0.003 -0.001
2.277 4.642 0.001
-3.216 -3.136 2.562
Cr Mg W
1 1 2
Direct
0.484 0.484 0.000
0.739 0.239 0.500
0.012 0.012 0.000
0.265 0.765 0.500
```

Calculated values
- Distance to the lowest polymorph of the same formula: 51 kJ/mol of formula units
- Calculated total energy: -8.852 eV per atom
- M_tot: 0.0 μB per formula unit

Record 2
Material: YWN3
Method: DFT, PBE
State: optimized geometry

The structure in POSCAR format:
```
YWN3
1.0
6.071 -0.005 -0.002
-0.931 3.672 0.013
-2.788 0.296 5.821
Y W N
2 2 6
Direct
0.254 0.844 0.524
0.642 0.417 0.997
0.122 0.098 0.013
0.797 0.139 0.526
0.457 0.122 0.256
0.690 0.003 0.786
0.063 0.558 0.089
0.043 0.302 0.270
0.833 0.681 0.468
0.209 0.267 0.751
```

Calculated values
- Formation energy without anion corrections: -0.70 eV per atom
- Calculated total energy: -9.581 eV per atom
- M_tot: 0.0 μB per formula unit